{"formula": "SmTmLu", "functional": "PBE", "state": "optimized geometry", "lattice_angstrom": [[0.0000, 3.7954, 3.7954], [3.7954, 0.0000, 3.7954], [3.7954, 3.7954, 0.0000]], "species": ["Sm", "Tm", "Lu"], "fractional_positions": [[0.0000, 0.0000, 0.0000], [0.5000, 0.5000, 0.5000], [0.2500, 0.2500, 0.2500]], "delta_e_f_mev_per_atom": 713, "de_polymorph_kj_per_mol_atoms": 0.00, "magnetic_moment_mub_per_fu": 0.0}


{"formula": "HfZn2Pb", "functional": "PBE", "state": "optimized geometry", "lattice_angstrom": [[0.0000, 3.4617, 3.4617], [3.4617, 0.0000, 3.4617], [3.4617, 3.4617, 0.0000]], "species": ["Hf", "Zn", "Zn", "Pb"], "fractional_positions": [[0.0000, 0.0000, 0.0000], [0.2500, 0.2500, 0.2500], [0.5000, 0.5000, 0.5000], [0.7500, 0.7500, 0.7500]], "total_energy_ev_per_atom": -3.714, "magnetic_moment_mub_per_fu": 0.0}


{"formula": "Li2HfB", "functional": "PBE", "state": "optimized geometry", "lattice_angstrom": [[0.0000, 2.9243, 2.9243], [2.9243, 0.0000, 2.9243], [2.9243, 2.9243, 0.0000]], "species": ["Li", "Li", "Hf", "B"], "fractional_positions": [[0.0000, 0.0000, 0.0000], [0.2500, 0.2500, 0.2500], [0.7500, 0.7500, 0.7500], [0.5000, 0.5000, 0.5000]], "total_energy_ev_per_atom": -4.897, "magnetic_moment_mub_per_fu": 0.0}


{"formula": "NbCoCuGe", "functional": "PBE", "state": "optimized geometry", "lattice_angstrom": [[0.0000, 3.0276, 3.0276], [3.0276, 0.0000, 3.0276], [3.0276, 3.0276, 0.0000]], "species": ["Nb", "Co", "Cu", "Ge"], "fractional_positions": [[0.0000, 0.0000, 0.0000], [0.7500, 0.7500, 0.7500], [0.5000, 0.5000, 0.5000], [0.2500, 0.2500, 0.2500]], "de_polymorph_kj_per_mol_atoms": 2.43, "magnetic_moment_mub_per_fu": 0.0}